1.
{"formula": "RbLiNd2Mo4O16", "functional": "meta-GGA SCAN", "state": "PBEsol geometry", "lattice": [[2.6337, -6.4460, 0.0000], [2.6337, 6.4460, 0.0000], [-1.2465, 0.0000, 19.5632]], "species": ["Rb", "Rb", "Li", "Li", "Nd", "Nd", "Nd", "Nd", "Mo", "Mo", "Mo", "Mo", "Mo", "Mo", "Mo", "Mo", "O", "O", "O", "O", "O", "O", "O", "O", "O", "O", "O", "O", "O", "O", "O", "O", "O", "O", "O", "O", "O", "O", "O", "O", "O", "O", "O", "O", "O", "O", "O", "O"], "fractional_positions": [[0.0360, 0.9640, 0.7500], [0.9640, 0.0360, 0.2500], [0.3164, 0.6836, 0.7500], [0.6836, 0.3164, 0.2500], [0.1458, 0.8533, 0.5334], [0.1467, 0.8542, 0.9666], [0.8533, 0.1458, 0.0334], [0.8542, 0.1467, 0.4666], [0.2407, 0.7394, 0.3513], [0.2606, 0.7593, 0.1487], [0.4189, 0.5444, 0.9070], [0.4556, 0.5811, 0.5930], [0.5444, 0.4189, 0.4070], [0.5811, 0.4556, 0.0930], [0.7394, 0.2407, 0.8513], [0.7593, 0.2606, 0.6487], [0.0008, 0.2692, 0.8308], [0.0575, 0.4860, 0.2854], [0.0667, 0.5903, 0.4312], [0.1060, 0.4189, 0.1349], [0.1811, 0.5146, 0.9574], [0.2258, 0.2646, 0.5396], [0.2327, 0.3222, 0.3977], [0.2646, 0.2258, 0.0396], [0.2692, 0.0008, 0.3308], [0.2980, 0.4830, 0.6701], [0.3222, 0.2327, 0.8977], [0.4097, 0.9333, 0.0688], [0.4189, 0.1060, 0.6349], [0.4830, 0.2980, 0.1701], [0.4854, 0.8189, 0.5426], [0.4860, 0.0575, 0.7854], [0.5140, 0.9425, 0.2146], [0.5146, 0.1811, 0.4574], [0.5170, 0.7020, 0.8299], [0.5811, 0.8940, 0.3651], [0.5903, 0.0667, 0.9312], [0.6778, 0.7673, 0.1023], [0.7020, 0.5170, 0.3299], [0.7308, 0.9992, 0.6692], [0.7354, 0.7742, 0.9604], [0.7673, 0.6778, 0.6023], [0.7742, 0.7354, 0.4604], [0.8189, 0.4854, 0.0426], [0.8940, 0.5811, 0.8651], [0.9333, 0.4097, 0.5688], [0.9425, 0.5140, 0.7146], [0.9992, 0.7308, 0.1692]], "raw_formation_energy_mev_per_atom": -2635, "total_energy_ev_per_atom": -17.20, "space_group": "No. 15", "m_tot_mub_per_fu": 0.0, "volume_a3_per_atom": 13.8}

2.
{"formula": "ZnCr4CoO8", "functional": "meta-GGA SCAN", "state": "PBEsol geometry", "lattice": [[0.0000, 4.1491, 4.1491], [4.1491, 0.0000, 4.1491], [4.1491, 4.1491, 0.0000]], "species": ["Zn", "Cr", "Cr", "Cr", "Cr", "Co", "O", "O", "O", "O", "O", "O", "O", "O"], "fractional_positions": [[0.0000, 0.0000, 0.0000], [0.3749, 0.3749, 0.3749], [0.3749, 0.3749, 0.8753], [0.3749, 0.8753, 0.3749], [0.8753, 0.3749, 0.3749], [0.7500, 0.7500, 0.7500], [0.1370, 0.1370, 0.1370], [0.1370, 0.1370, 0.5891], [0.1370, 0.5891, 0.1370], [0.1580, 0.6140, 0.6140], [0.5891, 0.1370, 0.1370], [0.6140, 0.1580, 0.6140], [0.6140, 0.6140, 0.1580], [0.6140, 0.6140, 0.6140]], "raw_formation_energy_mev_per_atom": -2295, "total_energy_ev_per_atom": -13.31, "space_group": "No. 216", "m_tot_mub_per_fu": 15.0, "volume_a3_per_atom": 10.2}

3.
{"formula": "MnHgBi2Rh", "functional": "meta-GGA SCAN", "state": "PBEsol geometry", "lattice": [[5.0082, 0.0000, 0.0000], [0.0000, 5.0082, 0.0000], [0.0000, 0.0000, 4.5309]], "species": ["Mn", "Hg", "Bi", "Bi", "Rh"], "fractional_positions": [[0.0000, 0.0000, 0.0000], [0.5000, 0.5000, 0.5000], [0.0000, 0.5000, 0.0000], [0.5000, 0.0000, 0.0000], [0.0000, 0.0000, 0.5000]], "formation_enthalpy_0k_kj_per_mol_atoms": 66.9, "total_energy_ev_per_atom": -54.78, "space_group": "No. 123", "m_tot_mub_per_fu": 3.7, "volume_a3_per_atom": 22.7}

4.
{"formula": "SbPb3", "functional": "meta-GGA SCAN", "state": "PBEsol geometry", "lattice": [[3.4619, 0.0000, 0.0000], [0.0000, 4.8356, 0.0000], [-0.0309, 0.0000, 6.9372]], "species": ["Sb", "Pb", "Pb", "Pb"], "fractional_positions": [[0.0000, 0.0000, 0.0000], [0.0000, 0.0000, 0.5000], [0.4991, 0.5000, 0.2422], [0.5009, 0.5000, 0.7578]], "raw_formation_energy_mev_per_atom": 79, "total_energy_ev_per_atom": -66.07, "space_group": "No. 10", "m_tot_mub_per_fu": 0.0, "volume_a3_per_atom": 29.0}

5.
{"formula": "CaLa2Al2", "functional": "meta-GGA SCAN", "state": "PBEsol geometry", "lattice": [[8.7407, 0.0000, 0.0000], [0.0000, 8.7407, 0.0000], [0.0000, 0.0000, 3.8130]], "species": ["Ca", "Ca", "La", "La", "La", "La", "Al", "Al", "Al", "Al"], "fractional_positions": [[0.0000, 0.0000, 0.0000], [0.5000, 0.5000, 0.0000], [0.1781, 0.3219, 0.5000], [0.3219, 0.8219, 0.5000], [0.6781, 0.1781, 0.5000], [0.8219, 0.6781, 0.5000], [0.1122, 0.6122, 0.0000], [0.3878, 0.1122, 0.0000], [0.6122, 0.8878, 0.0000], [0.8878, 0.3878, 0.0000]], "formation_enthalpy_0k_kj_per_mol_atoms": -27.2, "total_energy_ev_per_atom": -22.56, "space_group": "No. 127", "m_tot_mub_per_fu": 0.4, "volume_a3_per_atom": 29.1}

6.
{"formula": "RbBa3Ni", "functional": "meta-GGA SCAN", "state": "PBEsol geometry", "lattice": [[6.2570, 0.0000, 0.0000], [0.0000, 6.2570, 0.0000], [0.0000, 0.0000, 6.2570]], "species": ["Rb", "Ba", "Ba", "Ba", "Ni"], "fractional_positions": [[0.0000, 0.0000, 0.0000], [0.0000, 0.5000, 0.5000], [0.5000, 0.0000, 0.5000], [0.5000, 0.5000, 0.0000], [0.5000, 0.5000, 0.5000]], "formation_enthalpy_0k_kj_per_mol_atoms": 12.5, "total_energy_ev_per_atom": -30.98, "space_group": "No. 221", "m_tot_mub_per_fu": 0.0, "volume_a3_per_atom": 49.0}

7.
{"formula": "AlTcIr2", "functional": "meta-GGA SCAN", "state": "PBEsol geometry", "lattice": [[2.7740, 0.0000, 0.0000], [0.0000, 2.7740, 0.0000], [0.0000, 0.0000, 7.2227]], "species": ["Al", "Tc", "Ir", "Ir"], "fractional_positions": [[0.0000, 0.0000, 0.0000], [0.5000, 0.5000, 0.7435], [0.0000, 0.0000, 0.5023], [0.5000, 0.5000, 0.2276]], "formation_enthalpy_0k_kj_per_mol_atoms": -40.9, "total_energy_ev_per_atom": -46.68, "space_group": "No. 99", "m_tot_mub_per_fu": 0.0, "volume_a3_per_atom": 13.9}

8.
{"formula": "KYP2O", "functional": "meta-GGA SCAN", "state": "PBEsol geometry", "lattice": [[4.9227, 0.0000, 0.0000], [0.0000, 4.9227, 0.0000], [0.0000, 0.0000, 4.3613]], "species": ["K", "Y", "P", "P", "O"], "fractional_positions": [[0.0000, 0.0000, 0.0000], [0.5000, 0.5000, 0.5000], [0.0000, 0.5000, 0.0000], [0.5000, 0.0000, 0.0000], [0.0000, 0.0000, 0.5000]], "raw_formation_energy_mev_per_atom": 580, "total_energy_ev_per_atom": -12.06, "space_group": "No. 123", "m_tot_mub_per_fu": 1.2, "relative_energy_mev_per_atom": 1232, "volume_a3_per_atom": 21.1}

9.
{"formula": "KLi2ZnCu", "functional": "meta-GGA SCAN", "state": "PBEsol geometry", "lattice": [[5.0053, 0.0000, 0.0000], [0.0000, 5.0053, 0.0000], [0.0000, 0.0000, 5.0364]], "species": ["K", "Li", "Li", "Zn", "Cu"], "fractional_positions": [[0.0000, 0.0000, 0.0000], [0.0000, 0.5000, 0.0000], [0.5000, 0.0000, 0.0000], [0.5000, 0.5000, 0.5000], [0.0000, 0.0000, 0.5000]], "formation_enthalpy_0k_kj_per_mol_atoms": 106.2, "total_energy_ev_per_atom": -7.26, "space_group": "No. 123", "m_tot_mub_per_fu": 0.0, "volume_a3_per_atom": 25.2}

10.
{"formula": "BaSr5", "functional": "meta-GGA SCAN", "state": "PBEsol geometry", "lattice": [[7.2752, 0.0000, 0.0000], [-3.6376, 6.3005, 0.0000], [0.0000, 0.0000, 6.9276]], "species": ["Ba", "Sr", "Sr", "Sr", "Sr", "Sr"], "fractional_positions": [[0.0000, 0.0000, 0.0000], [0.0000, 0.3349, 0.5000], [0.3333, 0.6667, 0.0000], [0.3349, 0.0000, 0.5000], [0.6651, 0.6651, 0.5000], [0.6667, 0.3333, 0.0000]], "formation_enthalpy_0k_kj_per_mol_atoms": 1.4, "total_energy_ev_per_atom": -25.14, "space_group": "No. 189", "m_tot_mub_per_fu": 0.6, "relative_energy_mev_per_atom": 24, "volume_a3_per_atom": 52.9}

11.
{"formula": "Sr2TeRh", "functional": "meta-GGA SCAN", "state": "PBEsol geometry", "lattice": [[4.1051, 0.0000, 0.0000], [0.0000, 4.8273, 0.0000], [0.0000, 0.0000, 6.3457]], "species": ["Sr", "Sr", "Te", "Rh"], "fractional_positions": [[0.0000, 0.0000, 0.0000], [0.5000, 0.5000, 0.4974], [0.0000, 0.0000, 0.5002], [0.5000, 0.5000, 0.9992]], "raw_formation_energy_mev_per_atom": -591, "total_energy_ev_per_atom": -29.48, "space_group": "No. 25", "m_tot_mub_per_fu": 1.0, "volume_a3_per_atom": 31.4}

12.
{"formula": "ScTlOs2", "functional": "meta-GGA SCAN", "state": "PBEsol geometry", "lattice": [[-1.9831, 1.9831, 4.2111], [1.9831, -1.9831, 4.2111], [1.9831, 1.9831, -4.2111]], "species": ["Sc", "Tl", "Os", "Os"], "fractional_positions": [[0.0000, 0.0000, 0.0000], [0.7500, 0.2500, 0.5000], [0.2500, 0.7500, 0.5000], [0.5000, 0.5000, 0.0000]], "formation_enthalpy_0k_kj_per_mol_atoms": 31.1, "total_energy_ev_per_atom": -57.27, "space_group": "No. 119", "m_tot_mub_per_fu": 0.0, "volume_a3_per_atom": 16.6}